# AcVRh PBE relaxed
data_AcVRh
_symmetry_space_group_name_H-M 'P m m n'
_symmetry_Int_Tables_number 59
_cell_length_a 3.780
_cell_length_b 4.143
_cell_length_c 8.918
_cell_angle_alpha 90.00
_cell_angle_beta 90.00
_cell_angle_gamma 90.00
loop_
_symmetry_equiv_pos_as_xyz
'x,y,z'
'-x,-y,-z'
'-x+1/2,-y+1/2,z'
'x+1/2,y+1/2,-z'
'x+1/2,-y,-z'
'-x+1/2,y,z'
'-x,y+1/2,-z'
'x,-y+1/2,z'
loop_
_atom_site_label
_atom_site_type_symbol
_atom_site_fract_x
_atom_site_fract_y
_atom_site_fract_z
Ac1 Ac 0.250 0.250 0.171
V1 V 0.250 0.750 0.491
Rh1 Rh 0.250 0.250 0.695
# total magnetic moment	0.00	μB per cell
# DOS at the Fermi energy	1.8094	states/eV per atom
# volume	140	Å³/cell
# energy of formation	-0.159	eV/atom
# calculated total energy	-7.018	eV per atom

=====

# AcVRh2 PBE relaxed
data_AcVRh2
_symmetry_space_group_name_H-M 'P 4/m m m'
_symmetry_Int_Tables_number 123
_symmetry_space_group_name_Hall '-P 4 2'
_cell_length_a 3.196
_cell_length_b 3.196
_cell_length_c 7.442
_cell_angle_alpha 90.00
_cell_angle_beta 90.00
_cell_angle_gamma 90.00
loop_
_atom_site_label
_atom_site_type_symbol
_atom_site_fract_x
_atom_site_fract_y
_atom_site_fract_z
Ac1 Ac 0.000 0.000 0.000
V1 V 0.000 0.000 0.500
Rh1 Rh 0.500 0.500 0.316
# total magnetic moment	0.02	μB per cell
# DOS at the Fermi energy	0.9804	states/eV per atom
# volume	76	Å³/cell
# energy of formation	-0.180	eV/atom
# calculated total energy	-7.163	eV per atom

=====

# AcVRh2 PBE relaxed
data_AcVRh2
_symmetry_space_group_name_H-M 'R -3 m'
_symmetry_Int_Tables_number 166
_symmetry_space_group_name_Hall '-R 3 2"'
_cell_length_a 4.2018
_cell_length_b 4.2018
_cell_length_c 16.6543
_cell_angle_alpha 90.00
_cell_angle_beta 90.00
_cell_angle_gamma 120.00
loop_
_atom_site_label
_atom_site_type_symbol
_atom_site_fract_x
_atom_site_fract_y
_atom_site_fract_z
Ac1 Ac 0.0000 0.0000 0.0000
V1 V 0.0000 0.0000 0.5000
Rh1 Rh 0.0000 0.0000 0.2094
# total magnetic moment	1.81	μB per cell
# DOS at the Fermi energy	1.2424	states/eV per atom
# volume	255	Å³/cell
# energy of formation	-0.369	eV/atom
# calculated total energy	-7.352	eV per atom

=====

# AcRh2W PBE relaxed
data_AcRh2W
_symmetry_space_group_name_H-M 'R -3 m'
_symmetry_Int_Tables_number 166
_symmetry_space_group_name_Hall '-R 3 2"'
_cell_length_a 4.3276
_cell_length_b 4.3276
_cell_length_c 16.5821
_cell_angle_alpha 90.00
_cell_angle_beta 90.00
_cell_angle_gamma 120.00
loop_
_atom_site_label
_atom_site_type_symbol
_atom_site_fract_x
_atom_site_fract_y
_atom_site_fract_z
Ac1 Ac 0.0000 0.0000 0.0000
Rh1 Rh 0.0000 0.0000 0.2071
W1 W 0.0000 0.0000 0.5000
# total magnetic moment	0.00	μB per cell
# DOS at the Fermi energy	1.0057	states/eV per atom
# volume	269	Å³/cell
# energy of formation	-0.182	eV/atom
# calculated total energy	-8.123	eV per atom